(1)
Hf3Fe2Co7 | GGA-PBE | optimized geometry

abc: 4.8367 4.8367 23.5331
angles: 90.00 90.00 120.00
Space group R-3m (No. 166, hexagonal axes)
One atom of each set of equivalent atoms:
Hf: 0.0000 0.0000 0.0000 (multiplicity 3)
Hf: 0.0000 0.0000 0.1390 (multiplicity 6)
Fe: 0.0000 0.0000 0.3353 (multiplicity 6)
Co: 0.0000 0.0000 0.5000 (multiplicity 3)
Co: 0.0067 0.5033 0.9159 (multiplicity 18)

Results
calculated formation energy = -0.29 eV per atom
M_tot = 10.71 μB/f.u.

=====

(2)
Hf4Fe2Co | GGA-PBE | optimized geometry

abc: 4.7177 4.7177 12.2758
angles: 90.00 90.00 90.00
Space group I4/mmm (No. 139)
One atom of each set of equivalent atoms:
Hf: 0.0000 0.0000 0.2003 (multiplicity 4)
Hf: 0.0000 0.5000 0.0000 (multiplicity 4)
Fe: 0.0000 0.0000 0.3963 (multiplicity 4)
Co: 0.0000 0.0000 0.0000 (multiplicity 2)

Results
energy above the lowest structure with this stoichiometry = 0.591 eV/atom
calculated formation energy = 0.40 eV per atom
M_tot = 1.71 μB/f.u.

=====

(3)
Hf3FeCo | GGA-PBE | optimized geometry

abc: 7.7082 5.4902 9.0522
angles: 90.00 114.29 90.00
Space group P2_1/c (No. 14)
One atom of each set of equivalent atoms:
Hf: 0.1210 0.0088 0.2980 (multiplicity 4)
Hf: 0.2976 0.0093 0.0291 (multiplicity 4)
Hf: 0.3070 0.5051 0.1916 (multiplicity 4)
Fe: 0.4579 0.1681 0.4217 (multiplicity 4)
Co: 0.0065 0.7494 0.0056 (multiplicity 4)

Results
energy above the lowest structure with this stoichiometry = 0.000 eV/atom
calculated formation energy = -0.20 eV per atom
M_tot = 0.00 μB/f.u.

=====

(4)
Hf4FeCo | GGA-PBE | optimized geometry

abc: 8.4869 8.4869 6.9641
angles: 90.00 90.00 90.00
Space group I4_1md (No. 109)
One atom of each set of equivalent atoms:
Hf: 0.0000 0.1970 0.0000 (multiplicity 8)
Hf: 0.0000 0.2254 0.5143 (multiplicity 8)
Fe: 0.0000 0.0000 0.2805 (multiplicity 4)
Co: 0.0000 0.0000 0.7324 (multiplicity 4)

Results
energy above the lowest structure with this stoichiometry = 0.392 eV/atom
calculated formation energy = 0.13 eV per atom
M_tot = 0.00 μB/f.u.

=====

(5)
LuHfFeCo | GGA-PBE | optimized geometry

abc: 6.3780 6.3780 6.3780
angles: 90.00 90.00 90.00
Space group F-43m (No. 216)
One atom of each set of equivalent atoms:
Lu: 0.0000 0.0000 0.0000 (multiplicity 4)
Hf: 0.0000 0.0000 0.5000 (multiplicity 4)
Fe: 0.2500 0.2500 0.7500 (multiplicity 4)
Co: 0.2500 0.2500 0.2500 (multiplicity 4)

Results
calculated formation energy = -0.22 eV per atom
M_tot = 0.33 μB/f.u.

=====

(6)
HfMgFeCo2 | GGA-PBE | optimized geometry

abc: 4.2287 4.2287 4.2987
angles: 90.00 90.00 90.00
Space group P4/mmm (No. 123)
One atom of each set of equivalent atoms:
Hf: 0.0000 0.0000 0.0000 (multiplicity 1)
Mg: 0.5000 0.5000 0.5000 (multiplicity 1)
Fe: 0.5000 0.5000 0.0000 (multiplicity 1)
Co: 0.0000 0.5000 0.5000 (multiplicity 2)

Results
calculated formation energy = 1.00 eV per atom
M_tot = 1.99 μB/f.u.

=====

(7)
HfMgFeCo | GGA-PBE | optimized geometry

abc: 6.1403 6.1403 6.1403
angles: 90.00 90.00 90.00
Space group F-43m (No. 216)
One atom of each set of equivalent atoms:
Hf: 0.0000 0.0000 0.0000 (multiplicity 4)
Mg: 0.0000 0.0000 0.5000 (multiplicity 4)
Fe: 0.2500 0.2500 0.7500 (multiplicity 4)
Co: 0.2500 0.2500 0.2500 (multiplicity 4)

Results
calculated formation energy = -0.05 eV per atom
M_tot = 0.56 μB/f.u.

=====

(8)
NaHfFe2Co | GGA-PBE | optimized geometry

abc: 4.7376 4.7376 4.6380
angles: 90.00 90.00 90.00
Space group P4/mmm (No. 123)
One atom of each set of equivalent atoms:
Na: 0.0000 0.0000 0.0000 (multiplicity 1)
Hf: 0.5000 0.5000 0.5000 (multiplicity 1)
Fe: 0.0000 0.5000 0.5000 (multiplicity 2)
Co: 0.5000 0.5000 0.0000 (multiplicity 1)

Results
calculated formation energy = 1.29 eV per atom
M_tot = 4.96 μB/f.u.

=====

(9)
HfPaFeCo | GGA-PBE | optimized geometry

abc: 6.4894 6.4894 6.4894
angles: 90.00 90.00 90.00
Space group F-43m (No. 216)
One atom of each set of equivalent atoms:
Hf: 0.0000 0.0000 0.0000 (multiplicity 4)
Pa: 0.0000 0.0000 0.5000 (multiplicity 4)
Fe: 0.2500 0.2500 0.7500 (multiplicity 4)
Co: 0.2500 0.2500 0.2500 (multiplicity 4)

Results
calculated formation energy = -0.12 eV per atom
M_tot = 1.08 μB/f.u.

=====

(10)
HfFe2CoPt | GGA-PBE | optimized geometry

abc: 4.2627 4.2627 4.6280
angles: 90.00 90.00 90.00
Space group P4/mmm (No. 123)
One atom of each set of equivalent atoms:
Hf: 0.0000 0.0000 0.0000 (multiplicity 1)
Fe: 0.0000 0.5000 0.5000 (multiplicity 2)
Co: 0.0000 0.0000 0.5000 (multiplicity 1)
Pt: 0.5000 0.5000 0.0000 (multiplicity 1)

Results
calculated formation energy = 0.50 eV per atom
M_tot = 5.75 μB/f.u.

=====

(11)
PuHfFeCo | GGA-PBE | optimized geometry

abc: 6.4582 6.4582 6.4582
angles: 90.00 90.00 90.00
Space group F-43m (No. 216)
One atom of each set of equivalent atoms:
Pu: 0.0000 0.0000 0.0000 (multiplicity 4)
Hf: 0.0000 0.0000 0.5000 (multiplicity 4)
Fe: 0.2500 0.2500 0.2500 (multiplicity 4)
Co: 0.2500 0.2500 0.7500 (multiplicity 4)

Results
calculated formation energy = -0.06 eV per atom
M_tot = 2.98 μB/f.u.

=====

(12)
HfScFeCo | GGA-PBE | optimized geometry

abc: 3.1385 3.1385 6.2200
angles: 90.00 90.00 90.00
Space group P4mm (No. 99)
One atom of each set of equivalent atoms:
Hf: 0.0000 0.0000 0.0000 (multiplicity 1)
Sc: 0.0000 0.0000 0.5033 (multiplicity 1)
Fe: 0.5000 0.5000 0.7603 (multiplicity 1)
Co: 0.5000 0.5000 0.2444 (multiplicity 1)

Results
calculated formation energy = -0.33 eV per atom
M_tot = 0.13 μB/f.u.

=====

Question: Look up the calculated formation energy of the twelfth one.
Answer: -0.33 eV per atom

=====

Question: Number 6 is which compound?
Answer: HfMgFeCo2